Compound: AgTe4Se7
Source: Alexandria
Functional: PBE
Structure: optimized geometry

CIF file:
```
data_AgTe4Se7
_space_group_name_H-M_alt 'P 1'
_space_group_IT_number 1
_cell_length_a 4.039
_cell_length_b 7.263
_cell_length_c 13.190
_cell_angle_alpha 109.31
_cell_angle_beta 90.00
_cell_angle_gamma 106.15
loop_
_space_group_symop_operation_xyz
'x,y,z'
loop_
_atom_site_label
_atom_site_fract_x
_atom_site_fract_y
_atom_site_fract_z
Ag1 0.891 0.782 0.590
Te1 0.656 0.313 0.744
Te2 0.304 0.609 0.153
Te3 0.993 0.987 0.005
Te4 0.128 0.256 0.458
Se1 0.741 0.481 0.407
Se2 0.265 0.530 0.669
Se3 0.356 0.712 0.906
Se4 0.659 0.319 0.057
Se5 0.034 0.067 0.781
Se6 0.955 0.909 0.199
Se7 0.517 0.035 0.531
```

Properties
**Fermi-level density of states**: 2.70 states/eV/f.u.
**Calculated volume**: 349.0 Å³/cell
**Energy relative to the elements, uncorrected**: 0.04 eV/atom